<i>
The following is a DFT calculation (meta-GGA SCAN) of a crystal of Li2SbP relaxed with PBEsol.

a = 2.9627 Å, b = 2.9627 Å, c = 8.0116 Å
α = 90.00°, β = 90.00°, γ = 90.00°
Last column: nearest neighbours and their distance in Å.
Space group P4/mmm (No. 123)
Unique sites:
1 Li 0.0000 0.0000 0.2010  4 P 2.64
2 Sb 0.5000 0.5000 0.5000  4 Sb 2.96, 8 Li 3.18
3 P 0.5000 0.5000 0.0000  8 Li 2.64

Summary:
The calculation puts the density of states at the Fermi level at 0.359 states/eV per atom. The calculation puts the mass density at 3.934 Mg/m³.

<ii>
The following is a DFT calculation (meta-GGA SCAN) of a crystal of Li2SbP relaxed with PBEsol.

a = 3.0499 Å, b = 3.0499 Å, c = 7.6857 Å
α = 90.00°, β = 90.00°, γ = 90.00°
Last column: nearest neighbours and their distance in Å.
Space group P4mm (No. 99)
Unique sites:
1 Li 0.0000 0.0000 0.0000  4 Li 2.70, 1 P 2.76, 4 Sb 2.90
2 Li 0.5000 0.5000 0.2111  4 P 2.44, 4 Li 2.70
3 Sb 0.5000 0.5000 0.7482  4 Li 2.90, 4 Sb 3.05
4 P 0.0000 0.0000 0.3597  4 Li 2.44

Summary:
The calculation puts the density of states at the Fermi level at 0.347 states/eV per atom. The calculation puts the mass density at 3.870 Mg/m³.

The structure shown above that is least stable: <ii>.